BeTcPb: optimized geometry, PBE.

Energy above the most stable polymorph in this dataset: 0.300 eV per atom
DFT total energy: -63.05 eV/cell
Crystal system: cubic

Geometry as CIF:
```
data_BeTcPb
_chemical_formula_sum 'Be4 Tc4 Pb4'
_cell_length_a 5.839
_cell_length_b 5.839
_cell_length_c 5.839
_cell_angle_alpha 90.00
_cell_angle_beta 90.00
_cell_angle_gamma 90.00
_space_group_name_H-M_alt 'F -4 3 m'
_space_group_IT_number 216
_space_group_name_Hall 'F -4 2 3'
loop_
_atom_site_label
_atom_site_type_symbol
_atom_site_fract_x
_atom_site_fract_y
_atom_site_fract_z
Be1 Be 0.000 0.000 0.000
Tc1 Tc 0.250 0.250 0.750
Pb1 Pb 0.250 0.250 0.250
```